1.
PBE ZrTl6Br12, relaxed; space-group type = No. 148; E_form (uncorrected) = -16.400 eV/f.u.; M_tot = 0.0 μB/cell
1.0
8.891 0.645 -1.664
-2.114 8.661 -1.664
0.470 0.645 9.033
Br Tl Zr
12 6 1
Direct
0.573 0.829 0.427
0.829 0.427 0.573
0.010 0.947 0.706
0.706 0.010 0.947
0.171 0.573 0.427
0.427 0.573 0.829
0.427 0.171 0.573
0.573 0.427 0.171
0.947 0.706 0.010
0.990 0.053 0.294
0.294 0.990 0.053
0.053 0.294 0.990
0.325 0.646 0.153
0.646 0.153 0.325
0.847 0.675 0.354
0.354 0.847 0.675
0.153 0.325 0.646
0.675 0.354 0.847
0.000 0.000 0.000

2.
PBE Zr2TlBr, relaxed; space-group type = No. 6; E_form (uncorrected) = -0.800 eV/f.u.; M_tot = 0.0 μB/cell
1.0
5.150 0.000 0.000
0.000 3.273 0.016
0.000 1.585 5.655
Zr Br Tl
2 1 1
Direct
0.000 0.061 0.001
0.500 0.405 0.310
0.000 0.365 0.397
0.500 0.669 0.792

3.
PBE Zr3Tl2Br9, relaxed; space-group type = No. 12; E_form (uncorrected) = -16.163 eV/f.u.; M_tot = 4.0 μB/cell
1.0
-1.826 -10.224 0.430
9.197 0.433 -5.345
0.064 2.721 10.292
Br Tl Zr
18 4 6
Direct
0.180 0.883 0.091
0.820 0.909 0.117
0.500 0.210 0.790
0.831 0.510 0.108
0.516 0.201 0.412
0.516 0.412 0.201
0.169 0.892 0.490
0.794 0.717 0.717
0.167 0.681 0.681
0.500 0.790 0.210
0.169 0.490 0.892
0.833 0.319 0.319
0.180 0.091 0.883
0.206 0.283 0.283
0.484 0.799 0.588
0.484 0.588 0.799
0.820 0.117 0.909
0.831 0.108 0.510
0.833 0.772 0.448
0.167 0.552 0.228
0.167 0.228 0.552
0.833 0.448 0.772
0.635 0.869 0.869
0.647 0.231 0.047
0.365 0.131 0.131
0.353 0.769 0.953
0.647 0.047 0.231
0.353 0.953 0.769